1.
The following is a PBE calculation of a relaxed Sn2PbAu crystal, from the Alexandria database.

Size of the total moment, Bohr magnetons per cell: 0.00
Energy of formation, eV/atom: -0.054

a = 6.2736 Å, b = 3.5890 Å, c = 9.8286 Å
α = 90.00°, β = 104.53°, γ = 90.00°
Space group P2_1 (No. 4)
One atom of each set of equivalent atoms:
Sn: 0.0037 0.9999 0.3195 [2 per cell]
Sn: 0.4947 0.5000 0.2669 [2 per cell]
Pb: 0.2276 0.9982 0.9859 [2 per cell]
Au: 0.3002 0.4995 0.5047 [2 per cell]



2.
The following is a PBE calculation of a relaxed Sn2Pb2Au crystal, from the Alexandria database.

Size of the total moment, Bohr magnetons per cell: 0.00
Polymorph energy (0 for the lowest one), meV/atom: 201
Energy of formation, eV/atom: 0.156

a = 7.7999 Å, b = 7.7999 Å, c = 4.8572 Å
α = 90.00°, β = 90.00°, γ = 90.00°
Space group P4/mbm (No. 127)
One atom of each set of equivalent atoms:
Sn: 0.1447 0.3553 0.0000 [4 per cell]
Pb: 0.1607 0.6607 0.5000 [4 per cell]
Au: 0.0000 0.0000 0.5000 [2 per cell]



3.
The following is a PBE calculation of a relaxed Sn2Pb6Au crystal, from the Alexandria database.

Size of the total moment, Bohr magnetons per cell: 0.00
Polymorph energy (0 for the lowest one), meV/atom: 20
Energy of formation, eV/atom: 0.015

a = 14.3665 Å, b = 11.7632 Å, c = 6.7672 Å
α = 90.00°, β = 110.86°, γ = 90.00°
Space group C2/c (No. 15)
One atom of each set of equivalent atoms:
Sn: 0.1750 0.0116 0.3776 [8 per cell]
Pb: 0.0113 0.1571 0.5137 [8 per cell]
Pb: 0.1178 0.4187 0.7232 [8 per cell]
Pb: 0.2047 0.2971 0.2435 [8 per cell]
Au: 0.0000 0.3740 0.2500 [4 per cell]



4.
The following is a PBE calculation of a relaxed Sn2Pb2Au5 crystal, from the Alexandria database.

Size of the total moment, Bohr magnetons per cell: 0.00
Energy of formation, eV/atom: -0.035

a = 11.6611 Å, b = 5.3755 Å, c = 7.6877 Å
α = 90.00°, β = 106.75°, γ = 90.00°
Space group C2/m (No. 12)
One atom of each set of equivalent atoms:
Sn: 0.1628 0.0000 0.3636 [4 per cell]
Pb: 0.1051 0.5000 0.8610 [4 per cell]
Au: 0.0000 0.0000 0.0000 [2 per cell]
Au: 0.0866 0.0000 0.6841 [4 per cell]
Au: 0.1631 0.5000 0.2596 [4 per cell]



5.
The following is a PBE calculation of a relaxed Sn2Pb3Au4 crystal, from the Alexandria database.

Size of the total moment, Bohr magnetons per cell: 0.00
Energy of formation, eV/atom: -0.100

a = 12.5684 Å, b = 4.3170 Å, c = 9.3077 Å
α = 90.00°, β = 115.20°, γ = 90.00°
Space group C2/m (No. 12)
One atom of each set of equivalent atoms:
Sn: 0.1769 0.0000 0.3340 [4 per cell]
Pb: 0.0000 0.5000 0.0000 [2 per cell]
Pb: 0.1100 0.0000 0.7024 [4 per cell]
Au: 0.0824 0.5000 0.4282 [4 per cell]
Au: 0.1927 0.0000 0.0474 [4 per cell]



6.
The following is a PBE calculation of a relaxed Sn2PbAu crystal, from the Alexandria database.

Size of the total moment, Bohr magnetons per cell: 0.00
Energy of formation, eV/atom: 0.003

a = 3.4783 Å, b = 3.4783 Å, c = 31.7170 Å
α = 90.00°, β = 90.00°, γ = 120.00°
Space group R-3m (No. 166, hexagonal axes)
One atom of each set of equivalent atoms:
Sn: 0.0000 0.0000 0.1019 [6 per cell]
Pb: 0.0000 0.0000 0.0000 [3 per cell]
Au: 0.0000 0.0000 0.5000 [3 per cell]



7.
The following is a PBE calculation of a relaxed SnPbAu4 crystal, from the Alexandria database.

Size of the total moment, Bohr magnetons per cell: 0.00
Polymorph energy (0 for the lowest one), meV/atom: 0
Energy of formation, eV/atom: -0.048

a = 8.0621 Å, b = 8.0621 Å, c = 8.0621 Å
α = 90.00°, β = 90.00°, γ = 90.00°
Space group F-43m (No. 216)
One atom of each set of equivalent atoms:
Sn: 0.0000 0.0000 0.0000 [4 per cell]
Pb: 0.2500 0.2500 0.2500 [4 per cell]
Au: 0.1251 0.1251 0.6251 [16 per cell]



8.
The following is a PBE calculation of a relaxed Sn2Pb3Au2 crystal, from the Alexandria database.

Size of the total moment, Bohr magnetons per cell: 0.00
Energy of formation, eV/atom: -0.055

a = 11.9984 Å, b = 4.2057 Å, c = 7.9484 Å
α = 90.00°, β = 106.60°, γ = 90.00°
Space group C2/m (No. 12)
One atom of each set of equivalent atoms:
Sn: 0.1590 0.0000 0.3343 [4 per cell]
Pb: 0.0000 0.5000 0.5000 [2 per cell]
Pb: 0.1211 0.5000 0.9390 [4 per cell]
Au: 0.1900 0.0000 0.7123 [4 per cell]



9.
The following is a PBE calculation of a relaxed Sn3PbAu crystal, from the Alexandria database.

Size of the total moment, Bohr magnetons per cell: 0.00
Polymorph energy (0 for the lowest one), meV/atom: 211
Energy of formation, eV/atom: 0.263

a = 5.4257 Å, b = 5.4257 Å, c = 5.4257 Å
α = 90.00°, β = 90.00°, γ = 90.00°
Space group Pm-3m (No. 221)
One atom of each set of equivalent atoms:
Sn: 0.0000 0.0000 0.5000 [3 per cell]
Pb: 0.5000 0.5000 0.5000 [1 per cell]
Au: 0.0000 0.0000 0.0000 [1 per cell]



10.
The following is a PBE calculation of a relaxed Sn2Pb3Au3 crystal, from the Alexandria database.

Size of the total moment, Bohr magnetons per cell: 0.00
Energy of formation, eV/atom: -0.098

a = 4.1862 Å, b = 13.1353 Å, c = 14.9995 Å
α = 90.00°, β = 90.00°, γ = 90.00°
Space group Cmcm (No. 63)
One atom of each set of equivalent atoms:
Sn: 0.0000 0.2308 0.0850 [8 per cell]
Pb: 0.0000 0.0468 0.6259 [8 per cell]
Pb: 0.0000 0.3693 0.7500 [4 per cell]
Au: 0.0000 0.3260 0.2500 [4 per cell]
Au: 0.0000 0.4008 0.5339 [8 per cell]



11.
The following is a PBE calculation of a relaxed SnPb3Au3 crystal, from the Alexandria database.

Size of the total moment, Bohr magnetons per cell: 0.00
Polymorph energy (0 for the lowest one), meV/atom: 0
Energy of formation, eV/atom: -0.069

a = 8.5356 Å, b = 8.5356 Å, c = 18.0361 Å
α = 90.00°, β = 90.00°, γ = 120.00°
Space group R-3 (No. 148, hexagonal axes)
One atom of each set of equivalent atoms:
Sn: 0.0000 0.0000 0.1638 [6 per cell]
Pb: 0.0101 0.7504 0.6002 [18 per cell]
Au: 0.0077 0.6066 0.4296 [18 per cell]



12.
The following is a PBE calculation of a relaxed Sn2Pb6Au crystal, from the Alexandria database.

Size of the total moment, Bohr magnetons per cell: 0.00
Polymorph energy (0 for the lowest one), meV/atom: 0
Energy of formation, eV/atom: -0.006

a = 8.5960 Å, b = 8.5960 Å, c = 4.1714 Å
α = 90.00°, β = 90.00°, γ = 120.00°
Space group P-62m (No. 189)
One atom of each set of equivalent atoms:
Sn: 0.3333 0.6667 0.0000 [2 per cell]
Pb: 0.0000 0.3859 0.5000 [3 per cell]
Pb: 0.0000 0.7481 0.0000 [3 per cell]
Au: 0.0000 0.0000 0.5000 [1 per cell]



13.
The following is a PBE calculation of a relaxed Sn3PbAu6 crystal, from the Alexandria database.

Size of the total moment, Bohr magnetons per cell: 0.00
Energy of formation, eV/atom: -0.082

a = 9.8286 Å, b = 10.8120 Å, c = 8.4109 Å
α = 90.00°, β = 90.00°, γ = 90.00°
Space group Cmc2_1 (No. 36)
One atom of each set of equivalent atoms:
Sn: 0.0000 0.0288 0.0000 [4 per cell]
Sn: 0.1627 0.3704 0.9098 [8 per cell]
Pb: 0.0000 0.2775 0.2968 [4 per cell]
Au: 0.0000 0.2146 0.6454 [4 per cell]
Au: 0.0000 0.4792 0.6134 [4 per cell]
Au: 0.2168 0.0698 0.7562 [8 per cell]
Au: 0.2390 0.1672 0.0854 [8 per cell]



14.
The following is a PBE calculation of a relaxed Sn2Pb2Au crystal, from the Alexandria database.

Size of the total moment, Bohr magnetons per cell: 0.00
Polymorph energy (0 for the lowest one), meV/atom: 323
Energy of formation, eV/atom: 0.278

a = 4.3492 Å, b = 4.3492 Å, c = 15.8955 Å
α = 90.00°, β = 90.00°, γ = 90.00°
Space group I4/mmm (No. 139)
One atom of each set of equivalent atoms:
Sn: 0.0000 0.0000 0.0903 [4 per cell]
Pb: 0.0000 0.5000 0.2500 [4 per cell]
Au: 0.0000 0.0000 0.5000 [2 per cell]



15.
The following is a PBE calculation of a relaxed SnPb6Au4 crystal, from the Alexandria database.

Size of the total moment, Bohr magnetons per cell: 0.00
Energy of formation, eV/atom: -0.068

a = 9.9594 Å, b = 9.9594 Å, c = 7.1881 Å
α = 90.00°, β = 90.00°, γ = 120.00°
Space group P6_3mc (No. 186)
One atom of each set of equivalent atoms:
Sn: 0.3333 0.6667 0.0000 [2 per cell]
Pb: 0.0684 0.5342 0.3543 [6 per cell]
Pb: 0.1483 0.2966 0.6664 [6 per cell]
Au: 0.1762 0.3525 0.0778 [6 per cell]
Au: 0.3333 0.6667 0.6227 [2 per cell]



16.
The following is a PBE calculation of a relaxed SnPbAu2 crystal, from the Alexandria database.

Size of the total moment, Bohr magnetons per cell: 0.00
Energy of formation, eV/atom: -0.090

a = 4.0997 Å, b = 4.0997 Å, c = 20.6896 Å
α = 90.00°, β = 90.00°, γ = 120.00°
Space group R-3m (No. 166, hexagonal axes)
One atom of each set of equivalent atoms:
Sn: 0.0000 0.0000 0.0000 [3 per cell]
Pb: 0.0000 0.0000 0.5000 [3 per cell]
Au: 0.0000 0.0000 0.2567 [6 per cell]



17.
The following is a PBE calculation of a relaxed SnPbAu2 crystal, from the Alexandria database.

Size of the total moment, Bohr magnetons per cell: 0.00
Energy of formation, eV/atom: -0.004

a = 7.8193 Å, b = 7.8193 Å, c = 6.5514 Å
α = 90.00°, β = 90.00°, γ = 90.00°
Space group I-42d (No. 122)
One atom of each set of equivalent atoms:
Sn: 0.0000 0.0000 0.0000 [4 per cell]
Pb: 0.0000 0.0000 0.5000 [4 per cell]
Au: 0.2327 0.2500 0.1250 [8 per cell]



18.
The following is a PBE calculation of a relaxed Sn5Pb12Au3 crystal, from the Alexandria database.

Size of the total moment, Bohr magnetons per cell: 0.00
Energy of formation, eV/atom: 0.158

a = 17.6395 Å, b = 17.6395 Å, c = 17.6395 Å
α = 90.00°, β = 90.00°, γ = 90.00°
Space group Ia-3d (No. 230)
One atom of each set of equivalent atoms:
Sn: 0.0000 0.0000 0.0000 [16 per cell]
Sn: 0.0000 0.2500 0.3750 [24 per cell]
Pb: 0.0198 0.0883 0.6499 [96 per cell]
Au: 0.0000 0.2500 0.1250 [24 per cell]



19.
The following is a PBE calculation of a relaxed Sn3PbAu4 crystal, from the Alexandria database.

Size of the total moment, Bohr magnetons per cell: 0.00
Energy of formation, eV/atom: -0.113

a = 11.5980 Å, b = 8.4367 Å, c = 3.9920 Å
α = 90.00°, β = 94.64°, γ = 90.00°
Space group C2/m (No. 12)
One atom of each set of equivalent atoms:
Sn: 0.0000 0.0000 0.0000 [2 per cell]
Sn: 0.2500 0.2500 0.5000 [4 per cell]
Pb: 0.0000 0.5000 0.0000 [2 per cell]
Au: 0.0000 0.2378 0.5000 [4 per cell]
Au: 0.2437 0.0000 0.9984 [4 per cell]